Entry from the Alexandria database: an optimized crystal structure of CdTcHg2 (PBEsol).

Geometry as POSCAR:
```
CdTcHg2
1.0
-1.433 2.373 6.159
1.433 -2.373 6.159
1.433 2.373 -6.159
Cd Tc Hg
1 1 2
direct
0.000 0.000 0.000
0.500 0.500 0.000
0.308 0.808 0.500
0.692 0.192 0.500
```

Entry from the Alexandria database: an optimized crystal structure of CdTc3Hg (PBEsol).

Geometry as POSCAR:
```
CdTc3Hg
1.0
4.785 0.000 0.000
0.000 4.785 0.000
0.000 0.000 4.785
Cd Tc Hg
1 3 1
direct
0.000 0.000 0.000
0.000 0.000 0.500
0.000 0.500 0.000
0.500 0.000 0.000
0.500 0.500 0.500
```

no.,energy relative to the elements (eV/atom),mass density (Mg/m³)
1,0.480,12.12
2,2.606,9.20